(1)
A plane-wave DFT calculation with PBE was carried out for an optimized crystal structure of Y2BeAs.

## Properties
Total magnetic moment ... 0.000 μB per atom
Offset from the most stable computed form ... 0.227 eV per atom
Calculated formation energy ... -0.51 eV/atom
Fermi-level density of states ... 4.71 states/eV per cell

a = 3.6903 Å, b = 4.3275 Å, c = 10.7820 Å
α = 90.00°, β = 90.00°, γ = 90.00°
Last column: nearest neighbours and their distance in Å.
Space group Imm2 (No. 44)
One atom of each set of equivalent atoms:
Y (0.0000, 0.0000, 0.0000)  4 Be 2.91, 2 As 3.00
Y (0.0000, 0.5000, 0.2383)  4 As 2.94, 2 Be 3.09
Be (0.0000, 0.0000, 0.4434)  2 As 2.36
As (0.0000, 0.5000, 0.8071)  2 Be 2.36

(2)
A plane-wave DFT calculation with PBE was carried out for an optimized crystal structure of YBe2As.

## Properties
Total magnetic moment ... 0.089 μB per atom
Calculated formation energy ... 0.03 eV/atom
Fermi-level density of states ... 2.48 states/eV per cell

a = 3.2898 Å, b = 3.2898 Å, c = 6.0607 Å
α = 90.00°, β = 90.00°, γ = 90.00°
Last column: nearest neighbours and their distance in Å.
Space group P4mm (No. 99)
One atom of each set of equivalent atoms:
Y (0.0000, 0.0000, 0.0000)  6 Be 2.97-3.09, 4 As 3.03, 4 Y 3.29
Be (0.0000, 0.0000, 0.5099)  4 Be 2.54, 4 As 2.60
Be (0.5000, 0.5000, 0.6799)  1 As 2.18
As (0.5000, 0.5000, 0.3194)  1 Be 2.18

(3)
A plane-wave DFT calculation with PBE was carried out for an optimized crystal structure of YBe3As.

## Properties
Total magnetic moment ... 0.000 μB per atom
Offset from the most stable computed form ... 0.000 eV per atom
Calculated formation energy ... 0.52 eV/atom
Fermi-level density of states ... 1.74 states/eV per cell

a = 4.3724 Å, b = 4.3724 Å, c = 4.3724 Å
α = 90.00°, β = 90.00°, γ = 90.00°
Last column: nearest neighbours and their distance in Å.
Space group Pm-3m (No. 221)
One atom of each set of equivalent atoms:
Y (0.0000, 0.0000, 0.0000)  12 Be 3.09
Be (0.0000, 0.5000, 0.5000)  2 As 2.19
As (0.5000, 0.5000, 0.5000)  6 Be 2.19

(4)
A plane-wave DFT calculation with PBE was carried out for an optimized crystal structure of YBe2As.

## Properties
Total magnetic moment ... 0.000 μB per atom
Calculated formation energy ... 0.08 eV/atom
Fermi-level density of states ... 4.79 states/eV per cell

a = 3.8816 Å, b = 3.8816 Å, c = 8.8323 Å
α = 90.00°, β = 90.00°, γ = 90.00°
Last column: nearest neighbours and their distance in Å.
Space group I-4m2 (No. 119)
One atom of each set of equivalent atoms:
Y (0.0000, 0.0000, 0.0000)  8 Be 2.74-2.94, 4 As 2.94
Be (0.0000, 0.0000, 0.5000)  4 Y 2.74, 4 As 2.94, 4 Be 2.94
Be (0.0000, 0.5000, 0.2500)  4 As 2.74, 4 Be 2.94, 4 Y 2.94
As (0.0000, 0.5000, 0.7500)  8 Be 2.74-2.94, 4 Y 2.94

(5)
A plane-wave DFT calculation with PBE was carried out for an optimized crystal structure of YBeAs.

## Properties
Total magnetic moment ... 0.000 μB per atom
Offset from the most stable computed form ... 0.646 eV per atom
Calculated formation energy ... -0.21 eV/atom
Fermi-level density of states ... 10.39 states/eV per cell

a = 6.0435 Å, b = 6.0435 Å, c = 6.0435 Å
α = 90.00°, β = 90.00°, γ = 90.00°
Last column: nearest neighbours and their distance in Å.
Space group F-43m (No. 216)
One atom of each set of equivalent atoms:
Y (0.0000, 0.0000, 0.0000)  4 Be 2.62
Be (0.2500, 0.2500, 0.2500)  4 As 2.62, 4 Y 2.62
As (0.0000, 0.0000, 0.5000)  4 Be 2.62

(6)
A plane-wave DFT calculation with PBE was carried out for an optimized crystal structure of YBe2As.

## Properties
Total magnetic moment ... 0.000 μB per atom
Calculated formation energy ... -0.12 eV/atom
Fermi-level density of states ... 3.01 states/eV per cell

a = 7.0278 Å, b = 3.6911 Å, c = 5.3162 Å
α = 90.00°, β = 112.15°, γ = 90.00°
Last column: nearest neighbours and their distance in Å.
Space group C2/m (No. 12)
One atom of each set of equivalent atoms:
Y (0.0000, 0.0000, 0.0000)  8 Be 2.87-3.09
Be (0.2243, 0.0000, 0.6251)  3 As 2.27-2.35, 2 Be 2.38
As (0.0000, 0.5000, 0.5000)  6 Be 2.27-2.35